# 1
DFT (GGA-PBE) results for a relaxed EuC6 crystal.

Calculated values
Its formation energy from the elements is -0.0603 eV per atom.

Unit cell a=4.335 b=4.335 c=9.611 alpha=90.00 beta=90.00 gamma=120.00
Each line ends with the local moment (μB).
Atoms (fractional coordinates):
C 0.667 0.667 0.500  -0.01
C 0.333 0.333 0.000  -0.01
C 0.333 0.333 0.500  -0.01
C 0.667 0.667 0.000  -0.01
C 0.000 0.667 0.500  -0.01
C 0.000 0.333 0.000  -0.01
C 0.000 0.333 0.500  -0.01
C 0.333 0.000 0.000  -0.01
C 0.000 0.667 0.000  -0.01
C 0.667 0.000 0.500  -0.01
C 0.333 0.000 0.500  -0.01
C 0.667 0.000 0.000  -0.01
Eu 0.333 0.667 0.250  6.86
Eu 0.667 0.333 0.750  6.86


# 2
DFT (GGA-PBE) results for a relaxed EuC crystal.

Calculated values
Its formation energy from the elements is 0.2627 eV per atom.

Unit cell a=3.585 b=2.826 c=7.354 alpha=90.00 beta=104.13 gamma=90.00
Each line ends with the local moment (μB).
Atoms (fractional coordinates):
C 0.975 0.250 0.950  -0.06
C 0.025 0.750 0.050  -0.06
Eu 0.380 0.750 0.760  6.92
Eu 0.620 0.250 0.240  6.92


# 3
DFT (GGA-PBE) results for a relaxed EuFe2C crystal.

Calculated values
Its formation energy from the elements is 0.9368 eV per atom.

Unit cell a=4.652 b=4.652 c=4.599 alpha=59.62 beta=59.62 gamma=60.00
Each line ends with the local moment (μB).
Atoms (fractional coordinates):
Eu 0.000 0.000 0.000  6.74
Fe 0.651 0.651 0.046  -0.74
Fe 0.349 0.349 0.954  -0.74
C 0.500 0.500 0.500  0.07


# 4
DFT (GGA-PBE) results for a relaxed EuFeC2 crystal.

Calculated values
Its formation energy from the elements is 1.2894 eV per atom.

Unit cell a=3.991 b=3.991 c=3.991 alpha=60.00 beta=60.00 gamma=60.00
Each line ends with the local moment (μB).
Atoms (fractional coordinates):
Fe 0.000 0.000 0.000  0.17
Eu 0.500 0.500 0.500  -6.25
C 0.750 0.750 0.749  0.10
C 0.250 0.250 0.251  0.10


# 5
DFT (GGA-PBE) results for a relaxed EuGdC crystal.

Calculated values
Its formation energy from the elements is -0.0179 eV per atom.

Unit cell a=6.649 b=3.688 c=3.688 alpha=120.00 beta=90.00 gamma=90.00
Each line ends with the local moment (μB).
Atoms (fractional coordinates):
C 0.978 0.000 0.000  -0.01
Eu 0.220 0.333 0.667  6.83
Gd 0.802 0.667 0.333  -6.98


# 6
DFT (GGA-PBE) results for a relaxed EuGd3C crystal.

Calculated values
Its formation energy from the elements is 0.0486 eV per atom.

Unit cell a=5.153 b=5.153 c=5.153 alpha=90.00 beta=90.00 gamma=90.00
Each line ends with the local moment (μB).
Atoms (fractional coordinates):
Gd 0.000 0.500 0.000  -7.02
Gd 0.500 0.000 0.000  -7.02
Gd 0.000 0.000 0.500  -7.02
Eu 0.500 0.500 0.500  6.85
C 0.000 0.000 0.000  0.09


# 7
DFT (GGA-PBE) results for a relaxed EuGd2C crystal.

Calculated values
Its formation energy from the elements is -0.1437 eV per atom.

Unit cell a=3.682 b=3.682 c=9.703 alpha=79.06 beta=79.06 gamma=60.00
Each line ends with the local moment (μB).
Atoms (fractional coordinates):
C 0.500 0.500 0.500  -0.09
Eu 0.000 0.000 0.000  7.07
Gd 0.214 0.214 0.358  7.23
Gd 0.786 0.786 0.642  7.23


# 8
DFT (GGA-PBE) results for a relaxed EuH6CI3N crystal.

Calculated values
The total energy comes out at -242.20 eV for the cell shown.

Unit cell a=8.938 b=8.938 c=13.222 alpha=89.48 beta=89.48 gamma=89.96
Each line ends with the local moment (μB).
Atoms (fractional coordinates):
I 0.213 0.721 0.495  -0.02
I 0.721 0.213 0.995  -0.02
I 0.528 0.540 0.740  -0.01
I 0.213 0.323 0.997  -0.02
I 0.828 0.708 0.995  -0.02
I 0.337 0.827 0.994  -0.02
I 0.708 0.828 0.495  -0.02
I 0.026 0.997 0.740  -0.01
I 0.540 0.528 0.240  -0.01
I 0.827 0.337 0.494  -0.02
I 0.323 0.213 0.497  -0.02
I 0.997 0.026 0.240  -0.01
H 0.953 0.316 0.215  0.00
H 0.938 0.587 0.618  0.00
H 0.587 0.938 0.118  0.00
H 0.455 0.825 0.714  0.00
H 0.512 0.027 0.832  0.00
H 0.014 0.516 0.833  0.00
H 0.157 0.496 0.228  0.00
H 0.587 0.817 0.215  0.00
H 0.518 0.144 0.228  0.00
H 0.027 0.512 0.332  0.00
H 0.144 0.518 0.728  0.00
H 0.021 0.643 0.229  0.00
H 0.496 0.157 0.728  0.00
H 0.382 0.996 0.232  0.00
H 0.439 0.949 0.619  0.00
H 0.996 0.382 0.732  0.00
H 0.516 0.014 0.333  0.00
H 0.949 0.439 0.119  0.00
H 0.825 0.455 0.214  0.00
H 0.316 0.953 0.715  0.00
H 0.643 0.021 0.729  0.00
H 0.817 0.587 0.715  0.00
H 0.956 0.714 0.710  0.00
H 0.714 0.956 0.210  0.00
C 0.527 0.043 0.751  0.00
C 0.043 0.527 0.251  0.00
C 0.497 0.028 0.251  0.00
C 0.028 0.497 0.751  0.00
N 0.603 0.929 0.195  0.00
N 0.929 0.603 0.695  0.00
N 0.936 0.428 0.197  0.00
N 0.428 0.936 0.697  0.00
Eu 0.518 0.513 0.988  6.90
Eu 0.027 0.014 0.988  6.90
Eu 0.513 0.518 0.488  6.90
Eu 0.014 0.027 0.488  6.90


# 9
DFT (GGA-PBE) results for a relaxed EuHo3C crystal.

Calculated values
Its formation energy from the elements is 0.0135 eV per atom.

Unit cell a=5.077 b=5.077 c=5.077 alpha=90.00 beta=90.00 gamma=90.00
Each line ends with the local moment (μB).
Atoms (fractional coordinates):
C 0.000 0.000 0.000  0.03
Eu 0.500 0.500 0.500  6.89
Ho 0.000 0.500 0.000  0.13
Ho 0.500 0.000 0.000  0.13
Ho 0.000 0.000 0.500  0.13


# 10
DFT (GGA-PBE) results for a relaxed LiEu4C3I3N6 crystal.

Calculated values
The formation energy (no corrections) comes out at -1.003 eV/atom.

Unit cell a=10.760 b=10.760 c=6.810 alpha=90.00 beta=90.00 gamma=120.00
Each line ends with the local moment (μB).
Atoms (fractional coordinates):
N 0.868 0.434 0.476  -0.02
N 0.434 0.566 0.976  -0.02
N 0.868 0.434 0.024  -0.02
N 0.566 0.132 0.024  -0.02
N 0.434 0.868 0.524  -0.02
N 0.132 0.566 0.524  -0.02
N 0.434 0.868 0.976  -0.02
N 0.566 0.434 0.024  -0.02
N 0.434 0.566 0.524  -0.02
N 0.132 0.566 0.976  -0.02
N 0.566 0.434 0.476  -0.02
N 0.566 0.132 0.476  -0.02
Eu 0.333 0.667 0.250  6.80
Eu 0.786 0.214 0.250  6.88
Eu 0.572 0.786 0.750  6.88
Eu 0.667 0.333 0.750  6.80
Eu 0.786 0.572 0.250  6.88
Eu 0.214 0.786 0.750  6.88
Eu 0.428 0.214 0.250  6.88
Eu 0.214 0.428 0.750  6.88
I 0.871 0.741 0.750  -0.01
I 0.129 0.871 0.250  -0.01
I 0.129 0.259 0.250  -0.01
I 0.741 0.871 0.250  -0.01
I 0.259 0.129 0.750  -0.01
I 0.871 0.129 0.750  -0.01
C 0.500 0.500 0.000  0.01
C 0.500 0.000 0.000  0.01
C 0.500 0.000 0.500  0.01
C 0.500 0.500 0.500  0.01
C 0.000 0.500 0.500  0.01
C 0.000 0.500 0.000  0.01
Li 0.000 0.000 0.500  0.00
Li 0.000 0.000 0.000  0.00


# 11
DFT (GGA-PBE) results for a relaxed LaEuC crystal.

Calculated values
Its formation energy from the elements is 0.0190 eV per atom.

Unit cell a=6.863 b=3.774 c=3.774 alpha=120.00 beta=90.00 gamma=90.00
Each line ends with the local moment (μB).
Atoms (fractional coordinates):
Eu 0.784 0.667 0.333  6.85
C 0.014 0.000 0.000  -0.06
La 0.201 0.333 0.667  0.06


# 12
DFT (GGA-PBE) results for a relaxed La4Eu2C crystal.

Calculated values
Its formation energy from the elements is 0.1193 eV per atom.

Unit cell a=5.285 b=5.285 c=9.972 alpha=105.37 beta=105.37 gamma=90.00
Each line ends with the local moment (μB).
Atoms (fractional coordinates):
La 0.500 0.000 0.000  0.06
La 0.000 0.500 0.000  0.06
La 0.868 0.868 0.736  0.13
La 0.132 0.132 0.264  0.13
Eu 0.671 0.671 0.343  6.97
Eu 0.329 0.329 0.657  6.97
C 0.000 0.000 0.000  0.00


# 13
DFT (GGA-PBE) results for a relaxed La3EuC crystal.

Calculated values
Its formation energy from the elements is 0.0770 eV per atom.

Unit cell a=5.390 b=5.390 c=5.390 alpha=90.00 beta=90.00 gamma=90.00
Each line ends with the local moment (μB).
Atoms (fractional coordinates):
La 0.000 0.500 0.000  0.18
La 0.500 0.000 0.000  0.18
La 0.000 0.000 0.500  0.18
C 0.000 0.000 0.000  0.07
Eu 0.500 0.500 0.500  7.03


# 14
DFT (GGA-PBE) results for a relaxed LiEuC crystal.

Calculated values
Its formation energy from the elements is 0.3597 eV per atom.

Unit cell a=4.148 b=4.148 c=4.148 alpha=60.00 beta=60.00 gamma=60.00
Each line ends with the local moment (μB).
Atoms (fractional coordinates):
C 0.250 0.250 0.250  -0.32
Eu 0.500 0.500 0.500  6.47
Li 0.000 0.000 0.000  -0.01


# 15
DFT (GGA-PBE) results for a relaxed LiEu3C crystal.

Calculated values
Its formation energy from the elements is 0.1990 eV per atom.

Unit cell a=5.275 b=5.275 c=5.275 alpha=90.00 beta=90.00 gamma=90.00
Each line ends with the local moment (μB).
Atoms (fractional coordinates):
Eu 0.000 0.000 0.500  6.82
Eu 0.000 0.500 0.000  6.82
Eu 0.500 0.000 0.000  6.82
C 0.000 0.000 0.000  -0.25
Li 0.500 0.500 0.500  0.03


# 16
DFT (GGA-PBE) results for a relaxed EuLu2C crystal.

Calculated values
Its formation energy from the elements is -0.1555 eV per atom.

Unit cell a=3.502 b=3.502 c=9.860 alpha=79.77 beta=79.77 gamma=60.00
Each line ends with the local moment (μB).
Atoms (fractional coordinates):
C 0.500 0.500 0.500  0.00
Eu 0.000 0.000 0.000  7.03
Lu 0.122 0.122 0.635  -0.07
Lu 0.878 0.878 0.365  -0.07


# 17
DFT (GGA-PBE) results for a relaxed EuLuC crystal.

Calculated values
Its formation energy from the elements is -0.0697 eV per atom.

Unit cell a=3.627 b=3.627 c=6.443 alpha=90.00 beta=90.00 gamma=120.00
Each line ends with the local moment (μB).
Atoms (fractional coordinates):
Eu 0.000 0.000 0.111  -6.83
Lu 0.333 0.667 0.528  -0.04
C 0.667 0.333 0.362  0.07


# 18
DFT (GGA-PBE) results for a relaxed EuMnC2 crystal.

Calculated values
Its formation energy from the elements is 0.5058 eV per atom.

Unit cell a=3.237 b=3.237 c=5.680 alpha=73.45 beta=73.45 gamma=60.00
Each line ends with the local moment (μB).
Atoms (fractional coordinates):
Eu 0.500 0.500 0.500  6.55
C 0.726 0.726 0.823  -0.17
C 0.274 0.274 0.177  -0.17
Mn 0.000 0.000 0.000  2.19


# 19
DFT (GGA-PBE) results for a relaxed EuMoC2 crystal.

Calculated values
Its formation energy from the elements is 0.2163 eV per atom.

Unit cell a=3.226 b=3.226 c=6.085 alpha=74.63 beta=74.63 gamma=60.00
Each line ends with the local moment (μB).
Atoms (fractional coordinates):
Eu 0.500 0.500 0.500  6.58
C 0.266 0.266 0.203  -0.07
C 0.734 0.734 0.797  -0.07
Mo 0.000 0.000 0.000  0.10


# 20
DFT (GGA-PBE) results for a relaxed EuCN crystal.

Calculated values
The formation energy (no corrections) comes out at 1.524 eV/atom.

Unit cell a=2.972 b=2.972 c=4.694 alpha=108.46 beta=108.46 gamma=90.00
Each line ends with the local moment (μB).
Atoms (fractional coordinates):
Eu 0.616 0.616 0.233  6.68
C 0.332 0.332 0.663  -0.07
N 0.902 0.902 0.804  -0.05